[1]
Below is an optimized crystal structure of Mg2CrBr6, with properties calculated at the PBE level.

Cell and atoms, written as CIF:
```
data_Mg2CrBr6
_cell_length_a 17.775
_cell_length_b 3.889
_cell_length_c 8.328
_cell_angle_alpha 90.00
_cell_angle_beta 109.07
_cell_angle_gamma 90.00
_symmetry_space_group_name_H-M 'C 1 2/m 1'
_symmetry_Int_Tables_number 12
_symmetry_space_group_name_Hall '-C 2y'
loop_
_atom_site_label
_atom_site_type_symbol
_atom_site_fract_x
_atom_site_fract_y
_atom_site_fract_z
_atom_site_occupancy
Mg1 Mg 0.165 0.000 0.336 1
Cr1 Cr 0.000 0.500 0.000 1
Br1 Br 0.006 0.000 0.228 1
Br2 Br 0.156 0.500 0.104 1
Br3 Br 0.175 0.500 0.567 1
```

=====

[2]
# Mg2CrBr | the Alexandria database | PBE | relaxed
data_Mg2CrBr
_cell_length_a 3.415
_cell_length_b 3.326
_cell_length_c 8.105
_cell_angle_alpha 90.00
_cell_angle_beta 90.65
_cell_angle_gamma 90.00
_symmetry_space_group_name_H-M 'P 1 2/m 1'
_symmetry_Int_Tables_number 10
_symmetry_space_group_name_Hall '-P 2y'
loop_
_atom_site_label
_atom_site_type_symbol
_atom_site_fract_x
_atom_site_fract_y
_atom_site_fract_z
_atom_site_occupancy
Mg1 Mg 0.008 0.000 0.222 1
Cr1 Cr 0.500 0.500 0.000 1
Br1 Br 0.000 0.500 0.500 1
# Relative energy among the computed polymorphs in eV/f.u.: 0.000

=====

[3]
# Mg2CrBr | the Alexandria database | PBE | relaxed
data_Mg2CrBr
_cell_length_a 3.580
_cell_length_b 3.630
_cell_length_c 7.888
_cell_angle_alpha 90.00
_cell_angle_beta 90.00
_cell_angle_gamma 90.00
_symmetry_space_group_name_H-M 'P m m 2'
_symmetry_Int_Tables_number 25
_symmetry_space_group_name_Hall 'P 2 -2'
loop_
_atom_site_label
_atom_site_type_symbol
_atom_site_fract_x
_atom_site_fract_y
_atom_site_fract_z
_atom_site_occupancy
Mg1 Mg 0.000 0.000 0.000 1
Mg2 Mg 0.500 0.500 0.234 1
Cr1 Cr 0.500 0.500 0.851 1
Br1 Br 0.000 0.000 0.416 1
# Relative energy among the computed polymorphs in eV/f.u.: 0.814

=====

[4]
# Mg2CrBr | the Alexandria database | PBE | relaxed
data_Mg2CrBr
_cell_length_a 3.408
_cell_length_b 4.571
_cell_length_c 5.831
_cell_angle_alpha 90.00
_cell_angle_beta 106.96
_cell_angle_gamma 90.00
_symmetry_space_group_name_H-M 'P 1 m 1'
_symmetry_Int_Tables_number 6
_symmetry_space_group_name_Hall 'P -2y'
loop_
_atom_site_label
_atom_site_type_symbol
_atom_site_fract_x
_atom_site_fract_y
_atom_site_fract_z
_atom_site_occupancy
Mg1 Mg 0.000 0.000 0.000 1
Mg2 Mg 0.345 0.500 0.693 1
Cr1 Cr 0.743 0.000 0.491 1
Br1 Br 0.607 0.500 0.219 1
# Relative energy among the computed polymorphs in eV/f.u.: 0.743

=====

[5]
# Mg2CrBr | the Alexandria database | PBE | relaxed
data_Mg2CrBr
_cell_length_a 8.556
_cell_length_b 6.188
_cell_length_c 3.330
_cell_angle_alpha 90.00
_cell_angle_beta 90.07
_cell_angle_gamma 90.00
_symmetry_space_group_name_H-M 'C 1 2/m 1'
_symmetry_Int_Tables_number 12
_symmetry_space_group_name_Hall '-C 2y'
loop_
_atom_site_label
_atom_site_type_symbol
_atom_site_fract_x
_atom_site_fract_y
_atom_site_fract_z
_atom_site_occupancy
Mg1 Mg 0.250 0.250 0.000 1
Cr1 Cr 0.000 0.000 0.500 1
Br1 Br 0.000 0.500 0.500 1
# Relative energy among the computed polymorphs in eV/f.u.: 0.639

=====

[6]
# Mg2CrBr | the Alexandria database | PBE | relaxed
data_Mg2CrBr
_cell_length_a 3.933
_cell_length_b 5.356
_cell_length_c 8.634
_cell_angle_alpha 90.00
_cell_angle_beta 90.00
_cell_angle_gamma 90.00
_symmetry_space_group_name_H-M 'C m m 2'
_symmetry_Int_Tables_number 35
_symmetry_space_group_name_Hall 'C 2 -2'
loop_
_atom_site_label
_atom_site_type_symbol
_atom_site_fract_x
_atom_site_fract_y
_atom_site_fract_z
_atom_site_occupancy
Mg1 Mg 0.000 0.000 0.000 1
Mg2 Mg 0.000 0.500 0.274 1
Cr1 Cr 0.000 0.500 0.758 1
Br1 Br 0.000 0.000 0.525 1
# Relative energy among the computed polymorphs in eV/f.u.: 0.729

=====

[7]
Below is an optimized crystal structure of MgMnCr2Br, with properties calculated at the PBE level.

Cell and atoms, written as CIF:
```
data_MgMnCr2Br
_cell_length_a 5.149
_cell_length_b 5.149
_cell_length_c 5.086
_cell_angle_alpha 90.00
_cell_angle_beta 90.00
_cell_angle_gamma 90.00
_symmetry_space_group_name_H-M 'P 4/m m m'
_symmetry_Int_Tables_number 123
_symmetry_space_group_name_Hall '-P 4 2'
loop_
_atom_site_label
_atom_site_type_symbol
_atom_site_fract_x
_atom_site_fract_y
_atom_site_fract_z
_atom_site_occupancy
Mg1 Mg 0.000 0.000 0.000 1
Mn1 Mn 0.000 0.000 0.500 1
Cr1 Cr 0.000 0.500 0.000 1
Br1 Br 0.500 0.500 0.500 1
```

=====

[8]
Below is an optimized crystal structure of MgCrMo2Br, with properties calculated at the PBE level.

Cell and atoms, written as CIF:
```
data_MgCrMo2Br
_cell_length_a 4.595
_cell_length_b 4.595
_cell_length_c 5.063
_cell_angle_alpha 90.00
_cell_angle_beta 90.00
_cell_angle_gamma 90.00
_symmetry_space_group_name_H-M 'P 4/m m m'
_symmetry_Int_Tables_number 123
_symmetry_space_group_name_Hall '-P 4 2'
loop_
_atom_site_label
_atom_site_type_symbol
_atom_site_fract_x
_atom_site_fract_y
_atom_site_fract_z
_atom_site_occupancy
Mg1 Mg 0.000 0.000 0.000 1
Cr1 Cr 0.500 0.500 0.500 1
Mo1 Mo 0.000 0.500 0.500 1
Br1 Br 0.500 0.500 0.000 1
```

=====

Total magnetization for every record listed, in sequence, given in μB/f.u.: 4.00; 4.05; 4.34; 3.85; 4.47; 4.46; 4.99; 2.32.
E_form (uncorrected) for every record listed, in sequence, given in eV per atom: -1.183; -0.034; 0.169; 0.151; 0.126; 0.148; 1.335; 1.238.